No. 1
Compound: CsSr3Au
Source: Alexandria via LeMat-Bulk
Functional: GGA-PBE
Structure: optimized geometry

The value obtained for the magnetization is 0.0 μB/f.u. The density comes out at 3815 kg/m³. The calculation puts the energy of formation at -0.2733 eV/atom. As for the total energy: -2.11 eV per atom. The value obtained for the energy above the most stable polymorph in this dataset is 0 meV per atom. The volume comes out at 51.6 Å³/atom.

It has space group Pm-3m (No. 221), with a = 6.366 Å, b = 6.366 Å, c = 6.366 Å, α = 90.00°, β = 90.00° and γ = 90.00°. Symmetry generates all atoms from Cs at (0.000, 0.000, 0.000), Sr at (0.000, 0.500, 0.500) and Au at (0.500, 0.500, 0.500).

No. 2
Compound: CsSrTe2Au
Source: Alexandria via LeMat-Bulk
Functional: GGA-PBE
Structure: optimized geometry

The value obtained for the magnetization is 0.0 μB/f.u. The density comes out at 4940 kg/m³. Its energy relative to the elements, uncorrected is -1.04 eV/atom. As for the total energy: -3.46 eV per atom. The volume comes out at 45.2 Å³/atom.

It has space group Cmme (No. 67), with a = 8.532 Å, b = 17.881 Å, c = 5.929 Å, α = 90.00°, β = 90.00° and γ = 90.00°. Symmetry generates all atoms from Cs at (0.000, 0.250, 0.234), Sr at (0.250, 0.000, 0.500), Te at (0.000, 0.117, 0.733) and Au at (0.000, 0.000, 0.000).

No. 3
Compound: CsSrY2Au
Source: Alexandria via LeMat-Bulk
Functional: GGA-PBE
Structure: optimized geometry

The value obtained for the magnetization is 0.0 μB/f.u. The density comes out at 4368 kg/m³. The calculation puts the energy of formation at 0.8690 eV/atom. As for the total energy: -2.88 eV per atom. The volume comes out at 45.3 Å³/atom.

It has space group P4/mmm (No. 123), with a = 6.286 Å, b = 6.286 Å, c = 5.728 Å, α = 90.00°, β = 90.00° and γ = 90.00°. Symmetry generates all atoms from Cs at (0.000, 0.000, 0.000), Sr at (0.500, 0.500, 0.500), Y at (0.000, 0.500, 0.500) and Au at (0.500, 0.500, 0.000).

No. 4
Compound: CsTaAu2
Source: Alexandria via LeMat-Bulk
Functional: GGA-PBE
Structure: optimized geometry

The value obtained for the magnetization is 2.9 μB/f.u. The density comes out at 11422 kg/m³. The calculation puts the energy of formation at 1.1140 eV/atom. As for the total energy: -3.70 eV per atom. The volume comes out at 25.7 Å³/atom.

It has space group Fm-3m (No. 225), with a = 7.439 Å, b = 7.439 Å, c = 7.439 Å, α = 90.00°, β = 90.00° and γ = 90.00°. Symmetry generates all atoms from Cs at (0.000, 0.000, 0.000), Ta at (0.000, 0.000, 0.500) and Au at (0.250, 0.250, 0.250).

No. 5
Compound: CsTa3Au
Source: Alexandria via LeMat-Bulk
Functional: GGA-PBE
Structure: optimized geometry

The value obtained for the magnetization is 1.2 μB/f.u. The density comes out at 10524 kg/m³. The calculation puts the energy of formation at 2.0726 eV/atom. As for the total energy: -5.87 eV per atom. The value obtained for the energy above the most stable polymorph in this dataset is 0 meV per atom. The volume comes out at 27.5 Å³/atom.

It has space group Pm-3m (No. 221), with a = 5.164 Å, b = 5.164 Å, c = 5.164 Å, α = 90.00°, β = 90.00° and γ = 90.00°. Symmetry generates all atoms from Cs at (0.000, 0.000, 0.000), Ta at (0.000, 0.500, 0.500) and Au at (0.500, 0.500, 0.500).

No. 6
Compound: Cs3TaAu
Source: Alexandria via LeMat-Bulk
Functional: GGA-PBE
Structure: optimized geometry

The value obtained for the magnetization is 5.0 μB/f.u. The density comes out at 4164 kg/m³. The calculation puts the energy of formation at 1.1103 eV/atom. As for the total energy: -2.43 eV per atom. The value obtained for the energy above the most stable polymorph in this dataset is 0 meV per atom. The volume comes out at 61.9 Å³/atom.

It has space group Pm-3m (No. 221), with a = 6.766 Å, b = 6.766 Å, c = 6.766 Å, α = 90.00°, β = 90.00° and γ = 90.00°. Symmetry generates all atoms from Cs at (0.000, 0.000, 0.500), Ta at (0.500, 0.500, 0.500) and Au at (0.000, 0.000, 0.000).

No. 7
Compound: CsTa3Au
Source: Alexandria via LeMat-Bulk
Functional: GGA-PBE
Structure: optimized geometry

The value obtained for the magnetization is 0.0 μB/f.u. The density comes out at 11698 kg/m³. The calculation puts the energy of formation at 3.1448 eV/atom. As for the total energy: -4.79 eV per atom. The value obtained for the energy above the most stable polymorph in this dataset is 1072 meV per atom. The volume comes out at 24.8 Å³/atom.

It has space group Pm-3m (No. 221), with a = 4.985 Å, b = 4.985 Å, c = 4.985 Å, α = 90.00°, β = 90.00° and γ = 90.00°. Symmetry generates all atoms from Cs at (0.000, 0.000, 0.000), Ta at (0.000, 0.000, 0.500) and Au at (0.500, 0.500, 0.500).

No. 8
Compound: CsTbAu2
Source: Alexandria via LeMat-Bulk
Functional: GGA-PBE
Structure: optimized geometry

The value obtained for the magnetization is 0.0 μB/f.u. The density comes out at 9243 kg/m³. The calculation puts the energy of formation at -0.5296 eV/atom. As for the total energy: -3.54 eV per atom. The volume comes out at 30.8 Å³/atom.

It has space group P4/mmm (No. 123), with a = 3.790 Å, b = 3.790 Å, c = 8.578 Å, α = 90.00°, β = 90.00° and γ = 90.00°. Symmetry generates all atoms from Cs at (0.000, 0.000, 0.000), Tb at (0.000, 0.000, 0.500) and Au at (0.500, 0.500, 0.328).

No. 9
Compound: Cs2TbTe6Au2
Source: Alexandria via LeMat-Bulk
Functional: GGA-PBE
Structure: optimized geometry

The value obtained for the magnetization is 0.0 μB/f.u. The density comes out at 5509 kg/m³. Its energy relative to the elements, uncorrected is -0.54 eV/atom. As for the total energy: -3.42 eV per atom. The volume comes out at 43.4 Å³/atom.

It has space group C2/m (No. 12), with a = 13.638 Å, b = 8.193 Å, c = 9.675 Å, α = 90.00°, β = 117.94° and γ = 90.00°. Symmetry generates all atoms from Cs at (0.230, 0.000, 0.195), Tb at (0.000, 0.000, 0.500), Te at (0.020, 0.218, 0.770), Te at (0.237, 0.000, 0.773) and Au at (0.081, 0.500, 0.260).

No. 10
Compound: CsTbTe2Au
Source: Alexandria via LeMat-Bulk
Functional: GGA-PBE
Structure: optimized geometry

The value obtained for the magnetization is 0.0 μB/f.u. The density comes out at 6439 kg/m³. Its energy relative to the elements, uncorrected is -0.89 eV/atom. As for the total energy: -3.89 eV per atom. The volume comes out at 38.4 Å³/atom.

It has space group P2/c (No. 13), with a = 9.181 Å, b = 4.875 Å, c = 8.615 Å, α = 90.00°, β = 95.61° and γ = 90.00°. Symmetry generates all atoms from Cs at (0.000, 0.113, 0.250), Tb at (0.500, 0.497, 0.750), Te at (0.271, 0.368, 0.977) and Au at (0.500, 0.000, 0.000).

No. 11
Compound: CsTc2Au2
Source: Alexandria via LeMat-Bulk
Functional: GGA-PBE
Structure: optimized geometry

The value obtained for the magnetization is 0.0 μB/f.u. The density comes out at 10701 kg/m³. The calculation puts the energy of formation at 0.7574 eV/atom. As for the total energy: -4.87 eV per atom. The value obtained for the energy above the most stable polymorph in this dataset is 127 meV per atom. The volume comes out at 22.4 Å³/atom.

It has space group P4/mbm (No. 127), with a = 8.804 Å, b = 8.804 Å, c = 2.894 Å, α = 90.00°, β = 90.00° and γ = 90.00°. Symmetry generates all atoms from Cs at (0.000, 0.000, 0.000), Tc at (0.088, 0.412, 0.500) and Au at (0.195, 0.695, 0.000).

No. 12
Compound: CsTc2Au2
Source: Alexandria via LeMat-Bulk
Functional: GGA-PBE
Structure: optimized geometry

The value obtained for the magnetization is 0.0 μB/f.u. The density comes out at 9807 kg/m³. The calculation puts the energy of formation at 0.6307 eV/atom. As for the total energy: -5.00 eV per atom. The value obtained for the energy above the most stable polymorph in this dataset is 0 meV per atom. The volume comes out at 24.5 Å³/atom.

It has space group I4/mmm (No. 139), with a = 3.561 Å, b = 3.561 Å, c = 19.305 Å, α = 90.00°, β = 90.00° and γ = 90.00°. Symmetry generates all atoms from Cs at (0.000, 0.000, 0.000), Tc at (0.000, 0.500, 0.250) and Au at (0.000, 0.000, 0.364).